This record from the Alexandria database describes a geometry-optimized Ca3Ta structure. The functional is PBE.

a b c (Å): 7.1285 7.1285 5.7090
angles (deg): 90.00 90.00 120.00
Sites, in units of the cell vectors:
Ca1 0.8244 0.6487 0.2500
Ca2 0.3513 0.1756 0.2500
Ca3 0.8244 0.1756 0.2500
Ca4 0.1756 0.3513 0.7500
Ca5 0.6487 0.8244 0.7500
Ca6 0.1756 0.8244 0.7500
Ta1 0.3333 0.6667 0.2500
Ta2 0.6667 0.3333 0.7500

Magnetization, μB per cell: 5.61
Energy relative to the lowest polymorph listed for this composition, meV per atom: 162

This record from the Alexandria database describes a geometry-optimized Rb2LaTi structure. The functional is PBE.

a b c (Å): 4.8441 4.8441 15.0394
angles (deg): 80.73 80.73 90.00
Sites, in units of the cell vectors:
Ti1 0.5000 0.5000 0.0000
Ti2 0.2500 0.7500 0.5000
Rb1 0.6196 0.1250 0.2500
Rb2 0.1304 0.6250 0.2500
Rb3 0.3750 0.3804 0.7500
Rb4 0.8750 0.8696 0.7500
La1 0.0000 0.0000 0.0000
La2 0.7500 0.2500 0.5000

Magnetization, μB per cell: 5.66
Energy relative to the lowest polymorph listed for this composition, meV per atom: 0

This record from the Alexandria database describes a geometry-optimized MgInFePt2 structure. The functional is PBE.

a b c (Å): 4.6386 4.9684 4.6386
angles (deg): 90.00 90.00 90.00
Sites, in units of the cell vectors:
Mg1 0.0000 0.0000 0.0000
Fe1 0.5000 0.5000 0.5000
Pt1 0.0000 0.0000 0.5000
Pt2 0.5000 0.0000 0.0000
In1 0.0000 0.5000 0.0000

Magnetization, μB per cell: 3.37
E_tot, eV per atom: -4.005

This record from the Alexandria database describes a geometry-optimized La8TbY2 structure. The functional is PBE.

a b c (Å): 5.8262 8.2400 9.6902
angles (deg): 115.15 107.50 90.00
Sites, in units of the cell vectors:
La1 0.6331 0.8327 0.2662
La2 0.3670 0.5665 0.7340
La3 0.1642 0.1642 0.3285
La4 0.0000 0.2902 0.0000
La5 0.8358 0.8358 0.6715
La6 0.6330 0.4335 0.2660
La7 0.3669 0.1673 0.7338
La8 0.0000 0.7098 0.0000
Tb1 0.5000 0.0000 0.0000
Y1 0.2022 0.7020 0.4043
Y2 0.7978 0.2980 0.5957

Magnetization, μB per cell: 0.00
Energy relative to the lowest polymorph listed for this composition, meV per atom: 0

This record from the Alexandria database describes a geometry-optimized Hf6ZnN3 structure. The functional is PBE.

a b c (Å): 3.2042 11.8085 9.9972
angles (deg): 125.28 90.00 90.00
Sites, in units of the cell vectors:
Hf1 0.7500 0.4489 0.6044
Hf2 0.2500 0.5511 0.3956
Hf3 0.7500 0.9529 0.0928
Hf4 0.2500 0.0471 0.9072
Hf5 0.7500 0.3303 0.0895
Hf6 0.2500 0.6697 0.9105
Hf7 0.7500 0.6244 0.1693
Hf8 0.2500 0.3756 0.8308
Hf9 0.7500 0.1402 0.4823
Hf10 0.2500 0.8598 0.5177
Hf11 0.7500 0.7648 0.7137
Hf12 0.2500 0.2352 0.2863
Zn1 0.7500 0.1339 0.7460
Zn2 0.2500 0.8661 0.2540
N1 0.7500 0.5247 0.8823
N2 0.2500 0.4753 0.1177
N3 0.7500 0.7118 0.4495
N4 0.2500 0.2882 0.5505
N5 0.7500 0.1419 0.0931
N6 0.2500 0.8581 0.9069

Magnetization, μB per cell: 0.00
E_tot, eV per atom: -9.708

This record from the Alexandria database describes a geometry-optimized Nd2ZnCd3 structure. The functional is PBE.

a b c (Å): 3.4866 4.9950 8.5894
angles (deg): 90.00 90.00 90.00
Sites, in units of the cell vectors:
Nd1 0.0000 0.5000 0.0091
Nd2 0.0000 0.0000 0.4929
Zn1 0.5000 0.5000 0.3339
Cd1 0.5000 0.0000 0.8322
Cd2 0.5000 0.0000 0.1715
Cd3 0.5000 0.5000 0.6604

Magnetization, μB per cell: 0.00
Energy relative to the lowest polymorph listed for this composition, meV per atom: 0

This record from the Alexandria database describes a geometry-optimized BaAu12 structure. The functional is PBE.

a b c (Å): 5.7491 7.3792 7.3792
angles (deg): 81.27 67.07 67.07
Sites, in units of the cell vectors:
Ba1 0.0000 0.0000 0.0000
Au1 0.5000 0.0000 0.5000
Au2 0.0000 0.0000 0.5000
Au3 0.5000 0.5000 0.0000
Au4 0.0000 0.5000 0.0000
Au5 0.0000 0.6480 0.3520
Au6 0.0000 0.3520 0.6480
Au7 0.6480 0.3520 0.3520
Au8 0.3520 0.6480 0.6480
Au9 0.5000 0.2221 0.7779
Au10 0.5000 0.7779 0.2221
Au11 0.7221 0.7779 0.7779
Au12 0.2779 0.2221 0.2221

Magnetization, μB per cell: 0.00
Energy relative to the lowest polymorph listed for this composition, meV per atom: 0

This record from the Alexandria database describes a geometry-optimized Sc2Si2Tc structure. The functional is PBE.

a b c (Å): 4.0952 5.2321 5.2321
angles (deg): 58.93 66.96 66.96
Sites, in units of the cell vectors:
Sc1 0.8006 0.6994 0.6994
Sc2 0.1994 0.3006 0.3006
Si1 0.5000 0.7351 0.2649
Si2 0.5000 0.2649 0.7351
Tc1 0.0000 0.0000 0.0000

Magnetization, μB per cell: 0.00
Energy relative to the lowest polymorph listed for this composition, meV per atom: 42

This record from the Alexandria database describes a geometry-optimized CsBaOF2 structure. The functional is PBE.

a b c (Å): 5.1904 5.1904 4.6719
angles (deg): 90.00 90.00 90.00
Sites, in units of the cell vectors:
Cs1 0.0000 0.0000 0.0000
Ba1 0.5000 0.5000 0.5000
O1 0.0000 0.0000 0.5000
F1 0.0000 0.5000 0.0000
F2 0.5000 0.0000 0.0000

Magnetization, μB per cell: 0.00
Energy relative to the lowest polymorph listed for this composition, meV per atom: 573

This record from the Alexandria database describes a geometry-optimized Pu2PaTl2S6 structure. The functional is PBE.

a b c (Å): 7.0412 7.0412 7.8761
angles (deg): 98.80 98.80 119.90
Sites, in units of the cell vectors:
Pu1 0.3339 0.6661 0.5000
Pu2 0.6661 0.3339 0.5000
Pa1 0.0000 0.0000 0.5000
Tl1 0.8298 0.1702 0.0000
Tl2 0.1702 0.8298 0.0000
S1 0.7457 0.7457 0.6940
S2 0.0634 0.3883 0.6913
S3 0.2543 0.2543 0.3060
S4 0.3883 0.0634 0.6913
S5 0.9366 0.6117 0.3087
S6 0.6117 0.9366 0.3087

Magnetization, μB per cell: 11.00
E_tot, eV per atom: -7.497

This record from the Alexandria database describes a geometry-optimized Ca4WN4 structure. The functional is PBE.

a b c (Å): 8.5027 6.4572 6.4572
angles (deg): 90.00 90.00 90.00
Sites, in units of the cell vectors:
Ca1 0.3252 0.2525 0.0000
Ca2 0.8252 0.5000 0.7525
Ca3 0.3252 0.7475 0.0000
Ca4 0.1748 0.2475 0.5000
Ca5 0.6748 0.0000 0.7475
Ca6 0.1748 0.7525 0.5000
Ca7 0.8252 0.5000 0.2475
Ca8 0.6748 0.0000 0.2525
W1 0.0000 0.0000 0.0000
W2 0.5000 0.5000 0.5000
N1 0.6435 0.7259 0.5000
N2 0.6435 0.2741 0.5000
N3 0.1435 0.0000 0.7741
N4 0.8565 0.2259 0.0000
N5 0.8565 0.7741 0.0000
N6 0.3565 0.5000 0.2741
N7 0.3565 0.5000 0.7259
N8 0.1435 0.0000 0.2259

Magnetization, μB per cell: 0.00
E_tot, eV per atom: -6.882

This record from the Alexandria database describes a geometry-optimized RbAg3Pd2 structure. The functional is PBE.

a b c (Å): 5.5260 7.2760 7.2760
angles (deg): 102.11 90.00 90.00
Sites, in units of the cell vectors:
Rb1 0.2500 0.3365 0.3365
Rb2 0.7500 0.6635 0.6635
Ag1 0.7500 0.4690 0.0547
Ag2 0.7500 0.0547 0.4690
Ag3 0.2500 0.5310 0.9453
Ag4 0.7500 0.0686 0.0686
Ag5 0.2500 0.9314 0.9314
Ag6 0.2500 0.9453 0.5310
Pd1 0.5000 0.7936 0.2064
Pd2 0.0000 0.7936 0.2064
Pd3 0.0000 0.2064 0.7936
Pd4 0.5000 0.2064 0.7936

Magnetization, μB per cell: 0.00
E_tot, eV per atom: -3.309

Look up the magnetization of the second one. 5.66 μB per cell